# 1
First-principles (GGA-PBEsol) data for an optimized crystal structure of TcHgOs2, as listed in the Alexandria database.

Properties
Its crystal system is tetragonal.

Unit cell a=3.845 b=3.845 c=8.164 alpha=90.00 beta=90.00 gamma=90.00
Space group I-4m2 (No. 119)
Symmetry-distinct sites (fractional):
Tc (0.000, 0.000, 0.000) [2 per cell]
Hg (0.000, 0.500, 0.250) [2 per cell]
Os (0.000, 0.000, 0.500) [2 per cell]
Os (0.000, 0.500, 0.750) [2 per cell]

# 2
First-principles (GGA-PBEsol) data for an optimized crystal structure of RbSrOs3, as listed in the Alexandria database.

Properties
Its crystal system is cubic.

Unit cell a=4.813 b=4.813 c=4.813 alpha=90.00 beta=90.00 gamma=90.00
Space group Pm-3m (No. 221)
Symmetry-distinct sites (fractional):
Rb (0.000, 0.000, 0.000) [1 per cell]
Sr (0.500, 0.500, 0.500) [1 per cell]
Os (0.000, 0.000, 0.500) [3 per cell]

Number 1: Fermi-level density of states 9.552 states/eV/cell, energy relative to the elements 0.722 eV per atom. Number 2: Fermi-level density of states 10.734 states/eV/cell, energy relative to the elements 3.389 eV per atom.